Compound: CoTeN2F
Source: the Alexandria database
Functional: GGA+U
Structure: relaxed Values from VASP.

Cell and atoms, written as Quantum ESPRESSO input:
```
&SYSTEM
  ibrav = 0, nat = 5, ntyp = 4
/
ATOMIC_SPECIES
Co 58.93 Co.upf
Te 127.60 Te.upf
N 14.01 N.upf
F 19.00 F.upf
ATOMIC_POSITIONS crystal
Co 0.000 0.000 0.000
Te 0.500 0.500 0.500
N 0.000 0.500 0.000
N 0.500 0.000 0.000
F 0.000 0.000 0.500
CELL_PARAMETERS angstrom
3.873 0.000 0.000
0.000 3.873 0.000
0.000 0.000 3.792
```

## Properties
- N(E_F): 0.3391 states/eV/atom
- Total energy: -4.71 eV/atom
- Space-group type: P4/mmm (123)